Record 1
First-principles (SCAN) data for a crystal of BaYZn3CoO7 relaxed with PBEsol, as listed in Alexandria via LeMat-Bulk.

As for the space-group type: P6_3mc, No. 186. As for the raw formation energy: -2.1934 eV per atom.

Cell: 6.321 6.321 10.263 Å, 90.00 90.00 120.00°
Atoms (fractional coordinates):
Ba  0.333  0.667  0.000
Ba  0.667  0.333  0.500
Y  0.333  0.667  0.350
Y  0.667  0.333  0.850
Zn  0.170  0.341  0.666
Zn  0.170  0.830  0.666
Zn  0.341  0.170  0.166
Zn  0.659  0.830  0.666
Zn  0.830  0.170  0.166
Zn  0.830  0.659  0.166
Co  0.000  0.000  0.416
Co  0.000  0.000  0.916
O  0.000  0.000  0.232
O  0.000  0.000  0.732
O  0.016  0.508  0.216
O  0.160  0.320  0.473
O  0.160  0.840  0.473
O  0.320  0.160  0.973
O  0.492  0.508  0.216
O  0.492  0.984  0.216
O  0.508  0.016  0.716
O  0.508  0.492  0.716
O  0.680  0.840  0.473
O  0.840  0.160  0.973
O  0.840  0.680  0.973
O  0.984  0.492  0.716

Record 2
First-principles (SCAN) data for a crystal of Ba2CoOs relaxed with PBEsol, as listed in Alexandria via LeMat-Bulk.

As for the energy above the most stable polymorph in this dataset: 158 kJ/mol of formula units. As for the space-group type: P4/mmm, No. 123. The value obtained for the calculated formation energy is 1.005 eV/atom.

Cell: 3.621 3.621 7.831 Å, 90.00 90.00 90.00°
Atoms (fractional coordinates):
Ba  0.000  0.000  0.245
Ba  0.000  0.000  0.755
Co  0.500  0.500  0.500
Os  0.500  0.500  0.000

Record 3
First-principles (SCAN) data for a crystal of Ba2CoOs relaxed with PBEsol, as listed in Alexandria via LeMat-Bulk.

As for the energy above the most stable polymorph in this dataset: 0 kJ/mol of formula units. As for the space-group type: P4mm, No. 99. The value obtained for the calculated formation energy is 0.596 eV/atom.

Cell: 3.421 3.421 9.329 Å, 90.00 90.00 90.00°
Atoms (fractional coordinates):
Ba  0.000  0.000  0.000
Ba  0.500  0.500  0.433
Co  0.000  0.000  0.688
Os  0.500  0.500  0.744